# KRu2Br PBE optimized geometry
data_KRu2Br
_cell_length_a 3.9210
_cell_length_b 3.9210
_cell_length_c 6.5234
_cell_angle_alpha 90.00
_cell_angle_beta 90.00
_cell_angle_gamma 90.00
_symmetry_space_group_name_H-M 'P 4/m m m'
_symmetry_Int_Tables_number 123
_symmetry_space_group_name_Hall '-P 4 2'
loop_
_atom_site_label
_atom_site_type_symbol
_atom_site_fract_x
_atom_site_fract_y
_atom_site_fract_z
_atom_site_occupancy
K1 K 0.0000 0.0000 0.0000 1
Ru1 Ru 0.0000 0.5000 0.5000 1
Br1 Br 0.5000 0.5000 0.0000 1
# **Total magnetization**: 4.56 μB/f.u.
# **N(E_F)**: 3.60 states/eV/f.u.
# **Energy**: -17.40 eV/cell

# GdInAgIr PBE optimized geometry
data_GdInAgIr
_cell_length_a 6.8771
_cell_length_b 6.8771
_cell_length_c 6.8771
_cell_angle_alpha 90.00
_cell_angle_beta 90.00
_cell_angle_gamma 90.00
_symmetry_space_group_name_H-M 'F -4 3 m'
_symmetry_Int_Tables_number 216
_symmetry_space_group_name_Hall 'F -4 2 3'
loop_
_atom_site_label
_atom_site_type_symbol
_atom_site_fract_x
_atom_site_fract_y
_atom_site_fract_z
_atom_site_occupancy
Gd1 Gd 0.0000 0.0000 0.0000 1
In1 In 0.0000 0.0000 0.5000 1
Ag1 Ag 0.2500 0.2500 0.2500 1
Ir1 Ir 0.2500 0.2500 0.7500 1
# **Total magnetization**: 7.24 μB/f.u.
# **N(E_F)**: 3.21 states/eV/f.u.
# **ΔE_f**: -0.35 eV/atom
# **Energy**: -119.80 eV/cell

# LiSmThHg PBE optimized geometry
data_LiSmThHg
_cell_length_a 7.5459
_cell_length_b 7.5459
_cell_length_c 7.5459
_cell_angle_alpha 90.00
_cell_angle_beta 90.00
_cell_angle_gamma 90.00
_symmetry_space_group_name_H-M 'F -4 3 m'
_symmetry_Int_Tables_number 216
_symmetry_space_group_name_Hall 'F -4 2 3'
loop_
_atom_site_label
_atom_site_type_symbol
_atom_site_fract_x
_atom_site_fract_y
_atom_site_fract_z
_atom_site_occupancy
Li1 Li 0.0000 0.0000 0.0000 1
Sm1 Sm 0.2500 0.2500 0.2500 1
Th1 Th 0.2500 0.2500 0.7500 1
Hg1 Hg 0.0000 0.0000 0.5000 1
# **Total magnetization**: 0.00 μB/f.u.
# **N(E_F)**: 5.01 states/eV/f.u.
# **ΔE_f**: -0.06 eV/atom
# **Energy**: -58.38 eV/cell

# Pm7Er2Mg2 PBE optimized geometry
data_Pm7Er2Mg2
_cell_length_a 11.9418
_cell_length_b 11.0483
_cell_length_c 5.8200
_cell_angle_alpha 90.00
_cell_angle_beta 111.80
_cell_angle_gamma 90.00
_symmetry_space_group_name_H-M 'C 1 2/m 1'
_symmetry_Int_Tables_number 12
loop_
_symmetry_equiv_pos_as_xyz
'x,y,z'
'-x,-y,-z'
'-x,y,-z'
'x,-y,z'
'x+1/2,y+1/2,z'
'-x+1/2,-y+1/2,-z'
'-x+1/2,y+1/2,-z'
'x+1/2,-y+1/2,z'
loop_
_atom_site_label
_atom_site_type_symbol
_atom_site_fract_x
_atom_site_fract_y
_atom_site_fract_z
_atom_site_occupancy
Pm1 Pm 0.0000 0.0000 0.0000 1
Pm2 Pm 0.1933 0.2076 0.1863 1
Pm3 Pm 0.2319 0.0000 0.6638 1
Er1 Er 0.0000 0.2199 0.5000 1
Mg1 Mg 0.0591 0.5000 0.7806 1
# **Total magnetization**: 0.00 μB/f.u.
# **N(E_F)**: 12.36 states/eV/f.u.
# **ΔE_f**: 0.14 eV/atom
# **Energy**: -88.10 eV/cell

# BaTlPb PBE optimized geometry
data_BaTlPb
_cell_length_a 5.1350
_cell_length_b 5.1350
_cell_length_c 5.0105
_cell_angle_alpha 90.00
_cell_angle_beta 90.00
_cell_angle_gamma 120.00
_symmetry_space_group_name_H-M 'P 3 m 1'
_symmetry_Int_Tables_number 156
loop_
_symmetry_equiv_pos_as_xyz
'x,y,z'
'-y,x-y,z'
'-x+y,-x,z'
'-y,-x,z'
'-x+y,y,z'
'x,x-y,z'
loop_
_atom_site_label
_atom_site_type_symbol
_atom_site_fract_x
_atom_site_fract_y
_atom_site_fract_z
_atom_site_occupancy
Ba1 Ba 0.0000 0.0000 0.0000 1
Tl1 Tl 0.3333 0.6667 0.6096 1
Pb1 Pb 0.6667 0.3333 0.4176 1
# **Total magnetization**: 0.00 μB/f.u.
# **N(E_F)**: 1.56 states/eV/f.u.
# **ΔE_f**: -0.40 eV/atom
# **Energy**: -9.21 eV/cell

# Mg3TlMo PBE optimized geometry
data_Mg3TlMo
_cell_length_a 5.2810
_cell_length_b 5.2810
_cell_length_c 5.2810
_cell_angle_alpha 90.00
_cell_angle_beta 90.00
_cell_angle_gamma 90.00
_symmetry_space_group_name_H-M 'P m -3 m'
_symmetry_Int_Tables_number 221
_symmetry_space_group_name_Hall '-P 4 2 3'
loop_
_atom_site_label
_atom_site_type_symbol
_atom_site_fract_x
_atom_site_fract_y
_atom_site_fract_z
_atom_site_occupancy
Mg1 Mg 0.0000 0.0000 0.5000 1
Tl1 Tl 0.0000 0.0000 0.0000 1
Mo1 Mo 0.5000 0.5000 0.5000 1
# **Total magnetization**: 4.88 μB/f.u.
# **N(E_F)**: 2.38 states/eV/f.u.
# **ΔE_f**: 1.13 eV/atom
# **Energy**: -12.32 eV/cell

# Dy3ThSc2 PBE optimized geometry
data_Dy3ThSc2
_cell_length_a 8.5017
_cell_length_b 3.5864
_cell_length_c 11.6131
_cell_angle_alpha 90.00
_cell_angle_beta 91.38
_cell_angle_gamma 90.00
_symmetry_space_group_name_H-M 'P 1 21/m 1'
_symmetry_Int_Tables_number 11
loop_
_symmetry_equiv_pos_as_xyz
'x,y,z'
'-x,-y,-z'
'-x,y+1/2,-z'
'x,-y+1/2,z'
loop_
_atom_site_label
_atom_site_type_symbol
_atom_site_fract_x
_atom_site_fract_y
_atom_site_fract_z
_atom_site_occupancy
Dy1 Dy 0.0975 0.2500 0.2536 1
Dy2 Dy 0.1616 0.2500 0.5532 1
Dy3 Dy 0.3829 0.7500 0.0921 1
Th1 Th 0.3239 0.7500 0.7712 1
Sc1 Sc 0.1198 0.2500 0.9465 1
Sc2 Sc 0.4286 0.7500 0.3899 1
# **Total magnetization**: 0.00 μB/f.u.
# **N(E_F)**: 8.45 states/eV/f.u.
# **ΔE_f**: 0.07 eV/atom
# **Energy**: -66.92 eV/cell

# Li3GaTe PBE optimized geometry
data_Li3GaTe
_cell_length_a 4.8124
_cell_length_b 4.8124
_cell_length_c 4.8124
_cell_angle_alpha 90.00
_cell_angle_beta 90.00
_cell_angle_gamma 90.00
_symmetry_space_group_name_H-M 'P m -3 m'
_symmetry_Int_Tables_number 221
_symmetry_space_group_name_Hall '-P 4 2 3'
loop_
_atom_site_label
_atom_site_type_symbol
_atom_site_fract_x
_atom_site_fract_y
_atom_site_fract_z
_atom_site_occupancy
Li1 Li 0.0000 0.0000 0.5000 1
Ga1 Ga 0.0000 0.0000 0.0000 1
Te1 Te 0.5000 0.5000 0.5000 1
# **Total magnetization**: 0.00 μB/f.u.
# **N(E_F)**: 3.51 states/eV/f.u.
# **Energy**: -12.11 eV/cell

# Ga6CuAg12 PBE optimized geometry
data_Ga6CuAg12
_cell_length_a 11.8806
_cell_length_b 11.8806
_cell_length_c 8.5448
_cell_angle_alpha 90.00
_cell_angle_beta 90.00
_cell_angle_gamma 120.00
_symmetry_space_group_name_H-M 'R -3'
_symmetry_Int_Tables_number 148
_symmetry_space_group_name_Hall '-R 3'
loop_
_atom_site_label
_atom_site_type_symbol
_atom_site_fract_x
_atom_site_fract_y
_atom_site_fract_z
_atom_site_occupancy
Ga1 Ga 0.0545 0.2392 0.0601 1
Cu1 Cu 0.0000 0.0000 0.5000 1
Ag1 Ag 0.0426 0.1668 0.7549 1
Ag2 Ag 0.0609 0.2574 0.4392 1
# **Total magnetization**: 0.00 μB/f.u.
# **N(E_F)**: 5.08 states/eV/f.u.
# **ΔE_f**: 0.04 eV/atom
# **Energy**: -167.24 eV/cell

# MgTlAs PBE optimized geometry
data_MgTlAs
_cell_length_a 3.5656
_cell_length_b 3.5656
_cell_length_c 11.8229
_cell_angle_alpha 90.00
_cell_angle_beta 90.00
_cell_angle_gamma 90.00
_symmetry_space_group_name_H-M 'I 4 m m'
_symmetry_Int_Tables_number 107
_symmetry_space_group_name_Hall 'I 4 -2'
loop_
_atom_site_label
_atom_site_type_symbol
_atom_site_fract_x
_atom_site_fract_y
_atom_site_fract_z
_atom_site_occupancy
Mg1 Mg 0.0000 0.0000 0.0000 1
Tl1 Tl 0.0000 0.0000 0.7160 1
As1 As 0.0000 0.0000 0.4078 1
# **Total magnetization**: 0.00 μB/f.u.
# **N(E_F)**: 1.11 states/eV/f.u.
# **ΔE_f**: -0.07 eV/atom
# **Energy**: -17.63 eV/cell

# Np2Al3Si PBE optimized geometry
data_Np2Al3Si
_cell_length_a 5.3561
_cell_length_b 5.3561
_cell_length_c 13.4833
_cell_angle_alpha 90.00
_cell_angle_beta 90.00
_cell_angle_gamma 120.00
_symmetry_space_group_name_H-M 'R -3 m'
_symmetry_Int_Tables_number 166
_symmetry_space_group_name_Hall '-R 3 2"'
loop_
_atom_site_label
_atom_site_type_symbol
_atom_site_fract_x
_atom_site_fract_y
_atom_site_fract_z
_atom_site_occupancy
Np1 Np 0.0000 0.0000 0.1285 1
Al1 Al 0.0000 0.5000 0.0000 1
Si1 Si 0.0000 0.0000 0.5000 1
# **Total magnetization**: 8.44 μB/f.u.
# **N(E_F)**: 11.21 states/eV/f.u.
# **Energy**: -130.89 eV/cell

# Si2TcB PBE optimized geometry
data_Si2TcB
_cell_length_a 6.2132
_cell_length_b 6.2132
_cell_length_c 5.1101
_cell_angle_alpha 90.00
_cell_angle_beta 90.00
_cell_angle_gamma 90.00
_symmetry_space_group_name_H-M 'I -4 2 d'
_symmetry_Int_Tables_number 122
_symmetry_space_group_name_Hall 'I -4 2bw'
loop_
_atom_site_label
_atom_site_type_symbol
_atom_site_fract_x
_atom_site_fract_y
_atom_site_fract_z
_atom_site_occupancy
Si1 Si 0.1751 0.2500 0.1250 1
Tc1 Tc 0.0000 0.0000 0.5000 1
B1 B 0.0000 0.0000 0.0000 1
# **Total magnetization**: 0.00 μB/f.u.
# **N(E_F)**: 2.64 states/eV/f.u.
# **Energy**: -105.98 eV/cell